Material: MgPOsO2
Method: DFT, PBE
State: optimized geometry

abc: 3.637 3.637 5.823
angles: 90.00 90.00 90.00
Atoms (fractional coordinates):
Mg (0.000, 0.000, 0.000)
P (0.000, 0.000, 0.500)
Os (0.500, 0.500, 0.500)
O (0.000, 0.500, 0.000)
O (0.500, 0.000, 0.000)

Calculated values
formation energy without anion corrections = 348 meV per atom
DOS at the Fermi energy = 0.9121 states/eV per atom
uncorrected energy = -26.4 eV per cell
SG = P4/mmm
magnetic moment = 3.5 μB/f.u.